The following is a DFT calculation (PBE-GGA) of a relaxed structure of PuCdInIr.

## Properties
- Crystal system: cubic
- Energy relative to the elements: -0.079 eV per atom
- Total DFT energy (no corrections): -6.79 eV/atom

Cell and atoms, written as CIF:
```
data_PuCdInIr
_chemical_formula_sum 'Pu4 Cd4 In4 Ir4'
_space_group_name_H-M_alt 'F -4 3 m'
_space_group_IT_number 216
_space_group_name_Hall 'F -4 2 3'
_cell_length_a 6.972
_cell_length_b 6.972
_cell_length_c 6.972
_cell_angle_alpha 90.00
_cell_angle_beta 90.00
_cell_angle_gamma 90.00
loop_
_atom_site_label
_atom_site_fract_x
_atom_site_fract_y
_atom_site_fract_z
Pu1 0.000 0.000 0.000
Cd1 0.250 0.250 0.250
In1 0.000 0.000 0.500
Ir1 0.250 0.250 0.750
```


The following is a DFT calculation (PBE-GGA) of a relaxed structure of YCoMo2.

## Properties
- Crystal system: cubic
- Energy relative to the elements: 0.658 eV per atom
- Total DFT energy (no corrections): -8.15 eV/atom
- Energy relative to the lowest polymorph listed for this composition: 462 meV per atom

Cell and atoms, written as CIF:
```
data_YCoMo2
_chemical_formula_sum 'Y4 Co4 Mo8'
_space_group_name_H-M_alt 'F m -3 m'
_space_group_IT_number 225
_space_group_name_Hall '-F 4 2 3'
_cell_length_a 6.401
_cell_length_b 6.401
_cell_length_c 6.401
_cell_angle_alpha 90.00
_cell_angle_beta 90.00
_cell_angle_gamma 90.00
loop_
_atom_site_label
_atom_site_fract_x
_atom_site_fract_y
_atom_site_fract_z
Y1 0.000 0.000 0.000
Co1 0.000 0.000 0.500
Mo1 0.250 0.250 0.250
```


The following is a DFT calculation (PBE-GGA) of a relaxed structure of LuInNiAu.

## Properties
- Crystal system: cubic
- Energy relative to the elements: -0.492 eV per atom
- Total DFT energy (no corrections): -4.57 eV/atom

Cell and atoms, written as CIF:
```
data_LuInNiAu
_chemical_formula_sum 'Lu4 In4 Ni4 Au4'
_space_group_name_H-M_alt 'F -4 3 m'
_space_group_IT_number 216
_space_group_name_Hall 'F -4 2 3'
_cell_length_a 6.702
_cell_length_b 6.702
_cell_length_c 6.702
_cell_angle_alpha 90.00
_cell_angle_beta 90.00
_cell_angle_gamma 90.00
loop_
_atom_site_label
_atom_site_fract_x
_atom_site_fract_y
_atom_site_fract_z
Lu1 0.000 0.000 0.000
In1 0.000 0.000 0.500
Ni1 0.250 0.250 0.250
Au1 0.250 0.250 0.750
```


The following is a DFT calculation (PBE-GGA) of a relaxed structure of Tb4HgBi.

## Properties
- Crystal system: monoclinic
- Energy relative to the elements: -0.377 eV per atom
- Total DFT energy (no corrections): -4.16 eV/atom

Cell and atoms, written as CIF:
```
data_Tb4HgBi
_chemical_formula_sum 'Tb16 Hg4 Bi4'
_space_group_name_H-M_alt 'C 1 2/c 1'
_space_group_IT_number 15
_space_group_name_Hall '-C 2yc'
_cell_length_a 8.666
_cell_length_b 13.269
_cell_length_c 6.610
_cell_angle_alpha 90.00
_cell_angle_beta 107.76
_cell_angle_gamma 90.00
loop_
_atom_site_label
_atom_site_fract_x
_atom_site_fract_y
_atom_site_fract_z
Tb1 0.096 0.189 0.055
Tb2 0.199 0.406 0.406
Hg1 0.000 0.006 0.750
Bi1 0.000 0.387 0.750
```


The following is a DFT calculation (PBE-GGA) of a relaxed structure of BeRe2Se.

## Properties
- Crystal system: tetragonal
- Formation energy (no corrections): 0.60 eV per atom
- Total DFT energy (no corrections): -7.43 eV/atom
- Energy relative to the lowest polymorph listed for this composition: 474 meV per atom

Cell and atoms, written as CIF:
```
data_BeRe2Se
_chemical_formula_sum 'Be2 Re4 Se2'
_space_group_name_H-M_alt 'I -4 m 2'
_space_group_IT_number 119
_space_group_name_Hall 'I -4 -2'
_cell_length_a 3.962
_cell_length_b 3.962
_cell_length_c 7.275
_cell_angle_alpha 90.00
_cell_angle_beta 90.00
_cell_angle_gamma 90.00
loop_
_atom_site_label
_atom_site_fract_x
_atom_site_fract_y
_atom_site_fract_z
Be1 0.000 0.000 0.000
Re1 0.000 0.000 0.500
Re2 0.000 0.500 0.750
Se1 0.000 0.500 0.250
```


The following is a DFT calculation (PBE-GGA) of a relaxed structure of Ce5Te4H.

## Properties
- Crystal system: tetragonal
- Total DFT energy (no corrections): -5.58 eV/atom

Cell and atoms, written as CIF:
```
data_Ce5Te4H
_chemical_formula_sum 'Ce10 Te8 H2'
_space_group_name_H-M_alt 'I 4'
_space_group_IT_number 79
_space_group_name_Hall 'I 4'
_cell_length_a 9.701
_cell_length_b 9.701
_cell_length_c 6.292
_cell_angle_alpha 90.00
_cell_angle_beta 90.00
_cell_angle_gamma 90.00
loop_
_atom_site_label
_atom_site_fract_x
_atom_site_fract_y
_atom_site_fract_z
Ce1 0.000 0.000 0.000
Ce2 0.098 0.730 0.538
Te1 0.086 0.692 0.038
H1 0.000 0.000 0.610
```


The following is a DFT calculation (PBE-GGA) of a relaxed structure of La6Tm7.

## Properties
- Crystal system: trigonal
- Energy relative to the elements: 0.234 eV per atom
- Total DFT energy (no corrections): -4.45 eV/atom

Cell and atoms, written as CIF:
```
data_La6Tm7
_chemical_formula_sum 'La18 Tm21'
_space_group_name_H-M_alt 'R -3 m'
_space_group_IT_number 166
_space_group_name_Hall '-R 3 2"'
_cell_length_a 6.7384
_cell_length_b 6.7384
_cell_length_c 34.5339
_cell_angle_alpha 90.00
_cell_angle_beta 90.00
_cell_angle_gamma 120.00
loop_
_atom_site_label
_atom_site_fract_x
_atom_site_fract_y
_atom_site_fract_z
La1 0.0000 0.0000 0.0557
La2 0.0000 0.0000 0.1605
La3 0.0000 0.0000 0.3329
Tm1 0.0000 0.0000 0.5000
Tm2 0.0008 0.5004 0.0865
```


The following is a DFT calculation (PBE-GGA) of a relaxed structure of La4SbAsBr2.

## Properties
- Crystal system: monoclinic
- Formation energy (no corrections): -1.43 eV per atom
- Total DFT energy (no corrections): -5.41 eV/atom

Cell and atoms, written as CIF:
```
data_La4SbAsBr2
_chemical_formula_sum 'La4 Sb1 As1 Br2'
_space_group_name_H-M_alt 'P 1 2/m 1'
_space_group_IT_number 10
_space_group_name_Hall '-P 2y'
_cell_length_a 7.614
_cell_length_b 4.456
_cell_length_c 7.801
_cell_angle_alpha 90.00
_cell_angle_beta 109.73
_cell_angle_gamma 90.00
loop_
_atom_site_label
_atom_site_fract_x
_atom_site_fract_y
_atom_site_fract_z
La1 0.226 0.000 0.223
La2 0.238 0.500 0.767
Sb1 0.000 0.000 0.500
As1 0.000 0.500 0.000
Br1 0.500 0.000 0.000
Br2 0.500 0.500 0.500
```


The lowest total DFT energy (no corrections) belongs to which entry?
YCoMo2